DFT (GGA-PBE) results for crystalline Ce2Ga6Co at its relaxed geometry. Values from VASP.

Structure (Quantum ESPRESSO input):
```
&SYSTEM
  ibrav = 0, nat = 9, ntyp = 3
/
ATOMIC_SPECIES
Ce 140.12 Ce.upf
Ga 69.72 Ga.upf
Co 58.93 Co.upf
ATOMIC_POSITIONS crystal
Ce 0.250 0.250 0.250
Ce 0.750 0.750 0.750
Ga 0.223 0.223 0.777
Ga 0.223 0.777 0.223
Ga 0.223 0.777 0.777
Ga 0.777 0.223 0.223
Ga 0.777 0.223 0.777
Ga 0.777 0.777 0.223
Co 0.500 0.500 0.500
CELL_PARAMETERS angstrom
0.000 4.381 4.381
4.381 0.000 4.381
4.381 4.381 0.000
```

Output
Total magnetization, μB per formula unit: 1.08
ΔH_f (0 K), eV/atom: -0.538
Total energy, eV/atom: -4.6646
SG: Fm-3m, No. 225